Li2V3O6 | Alexandria via LeMat-Bulk | GGA+U | relaxed; total DFT energy (no corrections) = -7.14 eV per atom; space group = P1, No. 1
1.0
5.093 -0.016 -0.011
-2.560 4.584 0.042
-0.958 -1.503 4.938
O V Li
6 3 2
Direct
0.546 0.904 0.722
0.428 0.082 0.281
0.912 0.559 0.712
0.770 0.760 0.296
0.097 0.451 0.278
0.256 0.243 0.713
0.839 0.168 0.502
0.173 0.835 0.498
0.497 0.496 0.498
0.321 0.680 0.001
0.662 0.322 0.999